This record from Alexandria via LeMat-Bulk describes a crystal of MnFePtI2 relaxed with PBEsol. The functional is meta-GGA SCAN.

The value obtained for the uncorrected formation energy is 581 kJ/mol of formula units. For the total moment, the calculation gives 1.333 μB per atom. For the calculated density, the calculation gives 8.31 Mg/m³. As for the total energy: -34.81 eV/atom.

The structure belongs to space group P4/mmm (No. 123); the cell edges are 5.0022, 5.0022 and 4.4697 Å and the angles 90.00°, 90.00° and 90.00°. The inequivalent atoms are Mn at (0.0000, 0.0000, 0.0000), Fe at (0.0000, 0.0000, 0.5000), Pt at (0.5000, 0.5000, 0.5000) and I at (0.0000, 0.5000, 0.0000).

***

This record from Alexandria via LeMat-Bulk describes a crystal of TcSn2Mo relaxed with PBEsol. The functional is meta-GGA SCAN.

For the total moment, the calculation gives 0.566 μB per atom. The energy relative to the elements comes out at 0.38 eV/atom. For the calculated density, the calculation gives 10.43 Mg/m³. As for the total energy: -35.06 eV/atom.

The structure belongs to space group Fm-3m (No. 225); the cell edges are 6.5013, 6.5013 and 6.5013 Å and the angles 90.00°, 90.00° and 90.00°. The inequivalent atoms are Tc at (0.0000, 0.0000, 0.0000), Sn at (0.2500, 0.2500, 0.2500) and Mo at (0.0000, 0.0000, 0.5000).

***

This record from Alexandria via LeMat-Bulk describes a crystal of CrInGe3 relaxed with PBEsol. The functional is meta-GGA SCAN.

For the total moment, the calculation gives 0.955 μB per atom. The energy relative to the elements comes out at 1.14 eV/atom. For the calculated density, the calculation gives 4.79 Mg/m³. As for the total energy: -20.66 eV/atom.

The structure belongs to space group Pm-3m (No. 221); the cell edges are 5.1092, 5.1092 and 5.1092 Å and the angles 90.00°, 90.00° and 90.00°. The inequivalent atoms are Cr at (0.0000, 0.0000, 0.0000), In at (0.5000, 0.5000, 0.5000) and Ge at (0.0000, 0.5000, 0.5000).

***

This record from Alexandria via LeMat-Bulk describes a crystal of BaCd relaxed with PBEsol. The functional is meta-GGA SCAN.

For the total moment, the calculation gives 0.000 μB per atom. The energy relative to the elements comes out at -0.27 eV/atom. For the calculated density, the calculation gives 6.71 Mg/m³. As for the total energy: -35.25 eV/atom.

The structure belongs to space group Fd-3m (No. 227, origin choice 2); the cell edges are 7.9093, 7.9093 and 7.9093 Å and the angles 90.00°, 90.00° and 90.00°. The inequivalent atoms are Ba at (0.1250, 0.1250, 0.1250) and Cd at (0.1250, 0.1250, 0.6250).

***

This record from Alexandria via LeMat-Bulk describes a crystal of CoHgO2F relaxed with PBEsol. The functional is meta-GGA SCAN.

The value obtained for the uncorrected formation energy is 106 kJ/mol of formula units. For the total moment, the calculation gives 0.580 μB per atom. For the calculated density, the calculation gives 7.04 Mg/m³. As for the total energy: -20.07 eV/atom.

The structure belongs to space group P4/mmm (No. 123); the cell edges are 4.1536, 4.1536 and 4.2432 Å and the angles 90.00°, 90.00° and 90.00°. The inequivalent atoms are Co at (0.0000, 0.0000, 0.0000), Hg at (0.5000, 0.5000, 0.5000), O at (0.0000, 0.5000, 0.5000) and F at (0.5000, 0.5000, 0.0000).

***

This record from Alexandria via LeMat-Bulk describes a crystal of Rb3SbS relaxed with PBEsol. The functional is meta-GGA SCAN.

The value obtained for the uncorrected formation energy is -253 kJ/mol of formula units. For the total moment, the calculation gives 0.407 μB per atom. For the calculated density, the calculation gives 2.80 Mg/m³. As for the total energy: -22.35 eV/atom.

The structure belongs to space group Pm-3m (No. 221); the cell edges are 6.2435, 6.2435 and 6.2435 Å and the angles 90.00°, 90.00° and 90.00°. The inequivalent atoms are Rb at (0.0000, 0.0000, 0.5000), Sb at (0.5000, 0.5000, 0.5000) and S at (0.0000, 0.0000, 0.0000).

***

This record from Alexandria via LeMat-Bulk describes a crystal of MgNiO2 relaxed with PBEsol. The functional is meta-GGA SCAN.

The value obtained for the uncorrected formation energy is -836 kJ/mol of formula units. For the total moment, the calculation gives 0.493 μB per atom. For the calculated density, the calculation gives 5.26 Mg/m³. As for the total energy: -10.57 eV/atom.

The structure belongs to space group R-3m (No. 166, hexagonal axes); the cell edges are 2.9792, 2.9792 and 14.1756 Å and the angles 90.00°, 90.00° and 120.00°. The inequivalent atoms are Mg at (0.0000, 0.0000, 0.0000), Ni at (0.0000, 0.0000, 0.5000) and O at (0.0000, 0.0000, 0.2499).

***

This record from Alexandria via LeMat-Bulk describes a crystal of Cs2NaScBr6 relaxed with PBEsol. The functional is meta-GGA SCAN.

The value obtained for the uncorrected formation energy is -1918 kJ/mol of formula units. For the total moment, the calculation gives 0.000 μB per atom. For the calculated density, the calculation gives 4.08 Mg/m³. As for the total energy: -23.07 eV/atom.

The structure belongs to space group Fm-3m (No. 225); the cell edges are 10.9779, 10.9779 and 10.9779 Å and the angles 90.00°, 90.00° and 90.00°. The inequivalent atoms are Cs at (0.2500, 0.2500, 0.2500), Na at (0.0000, 0.0000, 0.0000), Sc at (0.0000, 0.0000, 0.5000) and Br at (0.0000, 0.0000, 0.2609).

***

This record from Alexandria via LeMat-Bulk describes a crystal of ScZnGa relaxed with PBEsol. The functional is meta-GGA SCAN.

For the total moment, the calculation gives 0.000 μB per atom. The energy relative to the elements comes out at -0.63 eV/atom. For the calculated density, the calculation gives 5.92 Mg/m³. As for the total energy: -15.33 eV/atom.

The structure belongs to space group Imm2 (No. 44); the cell edges are 4.2439, 6.4351 and 7.3945 Å and the angles 90.00°, 90.00° and 90.00°. The inequivalent atoms are Sc at (0.0000, 0.0000, 0.0000), Sc at (0.0000, 0.5000, 0.0082), Zn at (0.0000, 0.2255, 0.3366) and Ga at (0.0000, 0.2417, 0.6705).

***

This record from Alexandria via LeMat-Bulk describes a crystal of TeRu2Pt relaxed with PBEsol. The functional is meta-GGA SCAN.

The value obtained for the uncorrected formation energy is 69 kJ/mol of formula units. For the total moment, the calculation gives 0.000 μB per atom. For the calculated density, the calculation gives 14.24 Mg/m³. As for the total energy: -44.09 eV/atom.

The structure belongs to space group P4/mmm (No. 123); the cell edges are 4.0491, 4.0491 and 3.7340 Å and the angles 90.00°, 90.00° and 90.00°. The inequivalent atoms are Te at (0.0000, 0.0000, 0.0000), Ru at (0.0000, 0.5000, 0.5000) and Pt at (0.5000, 0.5000, 0.0000).

***

This record from Alexandria via LeMat-Bulk describes a crystal of K2InP relaxed with PBEsol. The functional is meta-GGA SCAN.

For the total moment, the calculation gives 0.000 μB per atom. The energy relative to the elements comes out at -0.38 eV/atom. For the calculated density, the calculation gives 2.81 Mg/m³. As for the total energy: -15.49 eV/atom. The calculation puts the energy above the most stable polymorph in this dataset at 0.00 kJ per mole of atoms.

The structure belongs to space group Pm (No. 6); the cell edges are 5.1231, 4.0898 and 6.8096 Å and the angles 90.00°, 112.02° and 90.00°. The inequivalent atoms are K at (0.0000, 0.0000, 0.0000), K at (0.3075, 0.5000, 0.6146), In at (0.6964, 0.0000, 0.3926) and P at (0.5707, 0.5000, 0.1426).

***

This record from Alexandria via LeMat-Bulk describes a crystal of Be4SeCl relaxed with PBEsol. The functional is meta-GGA SCAN.

The value obtained for the uncorrected formation energy is 354 kJ/mol of formula units. For the total moment, the calculation gives 0.000 μB per atom. For the calculated density, the calculation gives 3.34 Mg/m³. As for the total energy: -6.97 eV/atom.

The structure belongs to space group F-43m (No. 216); the cell edges are 6.6903, 6.6903 and 6.6903 Å and the angles 90.00°, 90.00° and 90.00°. The inequivalent atoms are Be at (0.1233, 0.1233, 0.1233), Se at (0.2500, 0.2500, 0.7500) and Cl at (0.0000, 0.0000, 0.5000).